VASP calculation (PBE) on an optimized crystal structure of ZrCrRe2.

Electronic total energy   -10.20 eV/atom
Energy above the lowest structure with this stoichiometry   0.585 eV/atom
ΔE_f   565 meV/atom

```
ZrCrRe2
1.0
-1.840 -5.368 4.448
5.671 -3.828 -2.274
3.397 -3.532 2.987
Zr Cr Re
2 2 4
Cartesian
1.736 -6.749 4.261 Zr
0.000 0.000 0.000 Zr
5.492 -5.979 0.900 Cr
1.915 -4.598 1.087 Cr
4.275 -6.293 2.939 Re
4.069 -4.222 0.109 Re
0.502 -4.441 3.015 Re
5.609 -10.499 4.259 Re
```

=====

VASP calculation (PBE) on an optimized crystal structure of Ac4Ga3Rh5.

Electronic total energy   -5.79 eV/atom
ΔE_f   -605 meV/atom

```
Ac4Ga3Rh5
1.0
4.612 0.000 0.000
2.306 8.848 -0.513
2.306 1.174 6.841
Ac Ga Rh
4 3 5
Cartesian
6.918 2.928 5.919 Ac
2.306 7.094 0.409 Ac
4.612 8.002 3.497 Ac
4.612 2.019 2.831 Ac
4.612 4.661 0.669 Ga
4.612 5.361 5.659 Ga
2.306 5.011 3.164 Ga
6.918 9.502 5.077 Rh
2.306 0.520 1.251 Rh
2.306 3.384 1.186 Rh
4.612 5.011 3.164 Rh
6.918 6.638 5.142 Rh
```

=====

VASP calculation (PBE) on an optimized crystal structure of PaAl2Tc.

Electronic total energy   -7.29 eV/atom
Energy above the lowest structure with this stoichiometry   0.000 eV/atom
ΔE_f   -458 meV/atom

```
PaAl2Tc
1.0
-1.220 0.704 4.229
-3.155 -3.077 -3.528
3.455 -5.791 1.961
Pa Tc Al
2 2 4
Cartesian
1.372 -4.368 3.546 Pa
-2.292 -3.796 -0.883 Pa
-1.321 -2.130 2.325 Tc
0.400 -6.034 0.338 Tc
-0.899 -1.051 -0.099 Al
-1.358 -4.871 2.003 Al
-0.021 -7.113 2.762 Al
0.438 -3.292 0.660 Al
```